Here is a geometry-optimized DyHo6ErSc2 structure from Alexandria via LeMat-Bulk. Energies are from PBE.

Cell and atoms, written as CIF:
```
data_DyHo6ErSc2
_symmetry_space_group_name_H-M 'P 1'
_symmetry_Int_Tables_number 1
_cell_length_a 8.573
_cell_length_b 8.573
_cell_length_c 9.324
_cell_angle_alpha 93.76
_cell_angle_beta 93.76
_cell_angle_gamma 117.50
loop_
_symmetry_equiv_pos_as_xyz
'x,y,z'
loop_
_atom_site_label
_atom_site_type_symbol
_atom_site_fract_x
_atom_site_fract_y
_atom_site_fract_z
_atom_site_occupancy
Dy1 Dy 0.093 0.907 0.750 1
Dy2 Dy 0.907 0.093 0.250 1
Ho1 Ho 0.004 0.797 0.382 1
Ho2 Ho 0.064 0.519 0.181 1
Ho3 Ho 0.203 0.996 0.118 1
Ho4 Ho 0.257 0.619 0.554 1
Ho5 Ho 0.381 0.743 0.946 1
Ho6 Ho 0.481 0.936 0.319 1
Ho7 Ho 0.519 0.064 0.681 1
Ho8 Ho 0.619 0.257 0.054 1
Ho9 Ho 0.743 0.381 0.446 1
Ho10 Ho 0.797 0.004 0.882 1
Ho11 Ho 0.936 0.481 0.819 1
Ho12 Ho 0.996 0.203 0.618 1
Er1 Er 0.473 0.527 0.250 1
Er2 Er 0.527 0.473 0.750 1
Sc1 Sc 0.198 0.305 0.953 1
Sc2 Sc 0.305 0.198 0.453 1
Sc3 Sc 0.695 0.802 0.547 1
Sc4 Sc 0.802 0.695 0.047 1
```

**Symmetry**: C2/c, No. 15
**Formation enthalpy at 0 K**: 0.126 eV/atom

---

Here is a geometry-optimized SrAgP2 structure from Alexandria via LeMat-Bulk. Energies are from PBE.

Cell and atoms, written as CIF:
```
data_SrAgP2
_symmetry_space_group_name_H-M 'P 1'
_symmetry_Int_Tables_number 1
_cell_length_a 4.751
_cell_length_b 4.210
_cell_length_c 4.991
_cell_angle_alpha 90.00
_cell_angle_beta 106.29
_cell_angle_gamma 90.00
loop_
_symmetry_equiv_pos_as_xyz
'x,y,z'
loop_
_atom_site_label
_atom_site_type_symbol
_atom_site_fract_x
_atom_site_fract_y
_atom_site_fract_z
_atom_site_occupancy
Sr1 Sr 0.000 0.000 0.000 1
Ag1 Ag 0.429 0.500 0.627 1
P1 P 0.531 0.500 0.134 1
P2 P 0.621 0.000 0.384 1
```

**Symmetry**: Pm, No. 6
**Formation enthalpy at 0 K**: -0.333 eV/atom

---

Here is a geometry-optimized LaCe2Al2Si2 structure from Alexandria via LeMat-Bulk. Energies are from PBE.

Cell and atoms, written as CIF:
```
data_LaCe2Al2Si2
_symmetry_space_group_name_H-M 'P 1'
_symmetry_Int_Tables_number 1
_cell_length_a 9.884
_cell_length_b 9.884
_cell_length_c 9.884
_cell_angle_alpha 25.24
_cell_angle_beta 25.24
_cell_angle_gamma 25.24
loop_
_symmetry_equiv_pos_as_xyz
'x,y,z'
loop_
_atom_site_label
_atom_site_type_symbol
_atom_site_fract_x
_atom_site_fract_y
_atom_site_fract_z
_atom_site_occupancy
La1 La 0.000 0.000 0.000 1
Ce1 Ce 0.139 0.139 0.139 1
Ce2 Ce 0.861 0.861 0.861 1
Al1 Al 0.409 0.409 0.409 1
Al2 Al 0.591 0.591 0.591 1
Si1 Si 0.260 0.260 0.260 1
Si2 Si 0.740 0.740 0.740 1
```

**Raw formation energy**: -0.41 eV/atom
**Symmetry**: R-3m, No. 166

---

| no. | total magnetization (μB per formula unit) | DOS(E_F) (states/eV per atom) |
| --- | --- | --- |
| 1 | 0.00 | 1.5889 |
| 2 | 0.00 | 0.2746 |
| 3 | 1.77 | 1.5448 |